# Tm2Cd2Au3

Crystalline Tm2Cd2Au3 at its relaxed geometry (PBE, Alexandria via LeMat-Bulk). Values from VASP.

## Properties
Fermi-level density of states (states/eV per atom): 0.362
Spin magnetization (μB/f.u.): 0.00
Space group: C2/m (12)
Energy of formation from the pure elements (eV/atom): -0.61

Quantum ESPRESSO input file:
```
&SYSTEM
  ibrav = 0, nat = 7, ntyp = 3
/
ATOMIC_SPECIES
Au 196.97 Au.upf
Cd 112.41 Cd.upf
Tm 168.93 Tm.upf
ATOMIC_POSITIONS angstrom
Au 0.0000 0.0000 0.0000
Au 2.4740 -0.7710 -2.0990
Au 2.0778 -5.2735 -0.1873
Cd 3.4856 -3.3510 -2.1872
Cd 1.0662 -2.6934 -0.0991
Tm 4.8498 -4.7300 0.5211
Tm -0.2981 -1.3145 -2.8074
CELL_PARAMETERS angstrom
-3.3336 -1.1913 -3.4915
4.4402 1.8077 -1.3159
3.4451 -6.6608 2.5210
```